VASP calculation (PBE) on an optimized crystal structure of NaCa2YH.

abc: 5.782 5.782 4.357
angles: 90.00 90.00 90.00
Fractional positions:
Na (0.000, 0.000, 0.000)
Ca (0.000, 0.500, 0.500)
Ca (0.500, 0.000, 0.500)
Y (0.500, 0.500, 0.000)
H (0.500, 0.500, 0.500)

size of the total moment = 0.002 μB/f.u.
DFT total energy = -3.020 eV per atom
space-group type = No. 123



VASP calculation (PBE) on an optimized crystal structure of ZnCdBi.

abc: 6.927 6.927 6.927
angles: 152.15 152.15 39.80
Fractional positions:
Zn (0.000, 0.000, 0.000)
Cd (0.633, 0.633, 0.000)
Bi (0.332, 0.332, 0.000)

relative energy among the computed polymorphs = 0.0522 eV per atom
size of the total moment = 0.000 μB/f.u.
ΔE_f = 41 kJ/mol of formula units
space-group type = No. 107



VASP calculation (PBE) on an optimized crystal structure of BaCo2Os.

abc: 3.118 3.118 7.492
angles: 90.00 90.00 90.00
Fractional positions:
Ba (0.000, 0.000, 0.000)
Co (0.500, 0.500, 0.336)
Co (0.500, 0.500, 0.664)
Os (0.000, 0.000, 0.500)

relative energy among the computed polymorphs = 0.3281 eV per atom
size of the total moment = 2.757 μB/f.u.
ΔE_f = 242 kJ/mol of formula units
space-group type = No. 123



VASP calculation (PBE) on an optimized crystal structure of CaTa2P.

abc: 5.542 5.542 5.542
angles: 137.77 137.77 61.26
Fractional positions:
Ca (0.000, 0.000, 0.000)
Ta (0.250, 0.750, 0.500)
Ta (0.750, 0.250, 0.500)
P (0.500, 0.500, 0.000)

relative energy among the computed polymorphs = 0.4806 eV per atom
size of the total moment = 0.000 μB/f.u.
ΔE_f = 128 kJ/mol of formula units
space-group type = No. 139



VASP calculation (PBE) on an optimized crystal structure of InBi2PdPb.

abc: 4.143 4.143 16.341
angles: 90.00 90.00 90.00
Fractional positions:
In (0.250, 0.750, 0.000)
In (0.750, 0.250, 0.000)
Bi (0.250, 0.250, 0.267)
Bi (0.250, 0.250, 0.606)
Bi (0.750, 0.750, 0.394)
Bi (0.750, 0.750, 0.733)
Pd (0.250, 0.250, 0.439)
Pd (0.750, 0.750, 0.561)
Pb (0.250, 0.250, 0.830)
Pb (0.750, 0.750, 0.170)

size of the total moment = 0.000 μB/f.u.
ΔE_f = 0 kJ/mol of formula units
space-group type = No. 129



VASP calculation (PBE) on an optimized crystal structure of PHOsO.

abc: 2.941 2.820 6.012
angles: 90.00 93.93 90.00
Fractional positions:
P (0.000, 0.000, 0.000)
H (0.170, 0.000, 0.417)
Os (0.463, 0.500, 0.770)
O (0.458, 0.000, 0.515)

relative energy among the computed polymorphs = 0.1764 eV per atom
size of the total moment = 0.000 μB/f.u.
space-group type = No. 6



VASP calculation (PBE) on an optimized crystal structure of VCrGe2.

abc: 4.390 4.390 4.390
angles: 60.00 60.00 60.00
Fractional positions:
V (0.000, 0.000, 0.000)
Cr (0.500, 0.500, 0.500)
Ge (0.250, 0.250, 0.250)
Ge (0.750, 0.750, 0.750)

relative energy among the computed polymorphs = 0.1348 eV per atom
size of the total moment = 0.599 μB/f.u.
ΔE_f = 25 kJ/mol of formula units
space-group type = No. 225



VASP calculation (PBE) on an optimized crystal structure of LuMgSc2.

abc: 4.636 4.636 4.710
angles: 90.00 90.00 90.00
Fractional positions:
Lu (0.000, 0.000, 0.000)
Mg (0.500, 0.500, 0.000)
Sc (0.000, 0.500, 0.500)
Sc (0.500, 0.000, 0.500)

relative energy among the computed polymorphs = 0.0455 eV per atom
size of the total moment = 0.073 μB/f.u.
ΔE_f = 19 kJ/mol of formula units
space-group type = No. 123



VASP calculation (PBE) on an optimized crystal structure of Sb2TePH.

abc: 4.387 4.387 5.436
angles: 90.00 90.00 90.00
Fractional positions:
Sb (0.000, 0.500, 0.000)
Sb (0.500, 0.000, 0.000)
Te (0.000, 0.000, 0.500)
P (0.500, 0.500, 0.500)
H (0.000, 0.000, 0.000)

relative energy among the computed polymorphs = 0.0000 eV per atom
size of the total moment = 0.000 μB/f.u.
space-group type = No. 123



VASP calculation (PBE) on an optimized crystal structure of YZn6Ni6.

abc: 6.486 6.486 6.486
angles: 135.12 100.06 96.70
Fractional positions:
Y (0.000, 0.000, 0.000)
Zn (0.201, 0.701, 0.500)
Zn (0.343, 0.000, 0.343)
Zn (0.350, 0.350, 0.000)
Zn (0.650, 0.650, 0.000)
Zn (0.657, 0.000, 0.657)
Zn (0.799, 0.299, 0.500)
Ni (0.000, 0.000, 0.500)
Ni (0.000, 0.500, 0.000)
Ni (0.230, 0.500, 0.730)
Ni (0.500, 0.000, 0.000)
Ni (0.500, 0.500, 0.500)
Ni (0.770, 0.500, 0.270)

size of the total moment = 0.000 μB/f.u.
ΔE_f = -376 kJ/mol of formula units
space-group type = No. 71



VASP calculation (PBE) on an optimized crystal structure of LiCrPb.

abc: 4.679 4.679 3.188
angles: 90.00 90.00 120.00
Fractional positions:
Li (0.000, 0.000, 0.000)
Cr (0.333, 0.667, 0.630)
Pb (0.667, 0.333, 0.223)

relative energy among the computed polymorphs = 0.0423 eV per atom
size of the total moment = 4.190 μB/f.u.
ΔE_f = 83 kJ/mol of formula units
space-group type = No. 156



VASP calculation (PBE) on an optimized crystal structure of La6TeRh3.

abc: 12.179 4.249 12.451
angles: 90.00 107.51 90.00
Fractional positions:
La (0.023, 0.250, 0.391)
La (0.110, 0.250, 0.952)
La (0.206, 0.750, 0.260)
La (0.283, 0.750, 0.775)
La (0.347, 0.250, 0.539)
La (0.425, 0.750, 0.095)
La (0.575, 0.250, 0.905)
La (0.653, 0.750, 0.461)
La (0.717, 0.250, 0.225)
La (0.794, 0.250, 0.740)
La (0.890, 0.750, 0.048)
La (0.977, 0.750, 0.609)
Te (0.447, 0.250, 0.317)
Te (0.553, 0.750, 0.683)
Rh (0.040, 0.250, 0.164)
Rh (0.178, 0.750, 0.492)
Rh (0.347, 0.250, 0.927)
Rh (0.653, 0.750, 0.073)
Rh (0.822, 0.250, 0.508)
Rh (0.960, 0.750, 0.836)

size of the total moment = 0.000 μB/f.u.
formation energy without anion corrections = -808 meV per atom
space-group type = No. 11